This record from the Alexandria database describes crystalline LaFe2TcPd at its relaxed geometry. The functional is PBE.

Properties
calculated total energy: -28.7 eV for the cell shown
size of the total moment: 4.8 μB per cell
volume: 96.8 Å³ per cell
D(E_F): 5.91 states/eV/f.u.

Cell lengths 4.5185, 4.7392, 4.5185 Å; angles 90.00, 90.00, 90.00 degrees
Closest atoms and distances in Å follow each position.
Atoms (fractional coordinates):
1 Fe 0.0000 0.0000 0.5000  2 La 2.26
2 Tc 0.0000 0.5000 0.0000  2 La 2.37
3 La 0.0000 0.0000 0.0000  4 Fe 2.26, 2 Tc 2.37
4 Pd 0.5000 0.5000 0.5000  4 Tc 3.20, 8 Fe 3.27
5 Fe 0.5000 0.0000 0.0000  2 La 2.26